Density functional theory data (GGA-PBE) for crystalline Pm2GdHo at its relaxed geometry.

Energy relative to the elements ... 14.9 meV/atom
Relative energy among the computed polymorphs ... 1 meV/atom

Cell: 3.607 3.607 11.899 Å, 81.28 81.28 60.00°
Site moments in Bohr magnetons follow the coordinates.
Fractional positions:
Gd 0.500 0.500 0.500  7.16
Pm 0.749 0.749 0.752  -0.03
Pm 0.251 0.251 0.248  -0.03
Ho 0.000 0.000 0.000  -0.07